Here is a geometry-optimized ZrAsRu2 structure from Alexandria via LeMat-Bulk. Energies are from GGA-PBE.

POSCAR file:
```
ZrAsRu2
1.0
0.000 3.199 3.199
3.199 0.000 3.199
3.199 3.199 0.000
Zr As Ru
1 1 2
direct
0.000 0.000 0.000
0.250 0.250 0.250
0.500 0.500 0.500
0.750 0.750 0.750
```

Output
Crystal system = cubic
Energy of formation = -0.0082 eV per atom
DFT total energy = -7.95 eV per atom

---

Here is a geometry-optimized La3Tl structure from Alexandria via LeMat-Bulk. Energies are from GGA-PBE.

POSCAR file:
```
La3Tl
1.0
3.711 0.000 0.000
0.000 5.856 0.000
-0.749 0.000 6.138
La Tl
3 1
direct
0.000 0.000 0.000
0.294 0.500 0.730
0.706 0.500 0.270
0.500 0.000 0.500
```

Output
Crystal system = monoclinic
Energy of formation = -0.1522 eV per atom
DFT total energy = -4.44 eV per atom

---

Here is a geometry-optimized MnPd3Au structure from Alexandria via LeMat-Bulk. Energies are from GGA-PBE.

POSCAR file:
```
MnPd3Au
1.0
4.617 0.000 0.000
0.000 4.617 0.000
0.000 0.000 4.617
Mn Pd Au
1 3 1
direct
0.000 0.000 0.000
0.000 0.000 0.500
0.000 0.500 0.000
0.500 0.000 0.000
0.500 0.500 0.500
```

Output
Crystal system = cubic
Energy of formation = 0.7100 eV per atom
DFT total energy = -4.90 eV per atom

---

Here is a geometry-optimized Cs2AcHg2S4 structure from Alexandria via LeMat-Bulk. Energies are from GGA-PBE.

POSCAR file:
```
Cs2AcHg2S4
1.0
8.416 -2.162 0.000
8.416 2.162 0.000
-3.232 0.000 8.033
Cs Ac Hg S
2 1 2 4
direct
0.129 0.129 0.061
0.871 0.871 0.939
0.000 0.000 0.500
0.311 0.311 0.483
0.689 0.689 0.517
0.190 0.190 0.708
0.468 0.468 0.712
0.532 0.532 0.288
0.810 0.810 0.292
```

Output
Crystal system = monoclinic
ΔE_f (raw) = -98 kJ per mole of atoms
DFT total energy = -3.56 eV per atom

---

Here is a geometry-optimized CuSiB structure from Alexandria via LeMat-Bulk. Energies are from GGA-PBE.

POSCAR file:
```
CuSiB
1.0
3.637 0.000 0.000
-1.818 3.150 0.000
0.000 0.000 7.368
Cu Si B
2 2 2
direct
0.333 0.667 0.250
0.667 0.333 0.750
0.000 0.000 0.000
0.000 0.000 0.500
0.000 0.000 0.250
0.000 0.000 0.750
```

Output
Crystal system = hexagonal
ΔE_f (raw) = 60 kJ per mole of atoms
DFT total energy = -4.78 eV per atom

---

Here is a geometry-optimized Ac3Mg2Zn structure from Alexandria via LeMat-Bulk. Energies are from GGA-PBE.

POSCAR file:
```
Ac3Mg2Zn
1.0
2.863 -8.602 0.000
2.863 8.602 0.000
0.000 0.000 4.026
Ac Mg Zn
3 2 1
direct
0.000 0.000 0.000
0.342 0.658 0.000
0.658 0.342 0.000
0.175 0.825 0.500
0.825 0.175 0.500
0.500 0.500 0.500
```

Output
Crystal system = orthorhombic
Energy of formation = -0.1278 eV per atom
DFT total energy = -2.93 eV per atom

---

Among the records above, which one has the highest DFT total energy?
Ac3Mg2Zn